Record 1
Density functional theory data (PBE) for a relaxed structure of AcTb12Er3.

a = 5.0550 Å, b = 5.0550 Å, c = 20.2309 Å
α = 90.00°, β = 90.00°, γ = 90.00°
Last column: nearest neighbours and their distance in Å.
Element x y z (fractional)
Ac: 0.0000 0.0000 0.0000  12 Tb 3.57-3.67
Tb: 0.0000 0.5000 0.1314  2 Er 3.53, 8 Tb 3.55-3.67, 2 Ac 3.67
Tb: 0.0000 0.5000 0.3770  8 Tb 3.53-3.57, 4 Er 3.55-3.56
Tb: 0.0000 0.5000 0.6230  8 Tb 3.53-3.57, 4 Er 3.55-3.56
Tb: 0.0000 0.5000 0.8686  2 Er 3.53, 8 Tb 3.55-3.67, 2 Ac 3.67
Tb: 0.5000 0.0000 0.1314  2 Er 3.53, 8 Tb 3.55-3.67, 2 Ac 3.67
Tb: 0.5000 0.0000 0.3770  8 Tb 3.53-3.57, 4 Er 3.55-3.56
Tb: 0.5000 0.0000 0.6230  8 Tb 3.53-3.57, 4 Er 3.55-3.56
Tb: 0.5000 0.0000 0.8686  2 Er 3.53, 8 Tb 3.55-3.67, 2 Ac 3.67
Tb: 0.5000 0.5000 0.0000  4 Ac 3.57, 8 Tb 3.67
Tb: 0.5000 0.5000 0.2550  8 Tb 3.53-3.55, 4 Er 3.57
Tb: 0.5000 0.5000 0.5000  8 Tb 3.55, 4 Er 3.57
Tb: 0.5000 0.5000 0.7450  8 Tb 3.53-3.55, 4 Er 3.57
Er: 0.0000 0.0000 0.2534  12 Tb 3.53-3.57
Er: 0.0000 0.0000 0.5000  12 Tb 3.55-3.57
Er: 0.0000 0.0000 0.7466  12 Tb 3.53-3.57

Total energy (eV for the cell shown): -72.88
SG: P4/mmm



Record 2
Density functional theory data (PBE) for a relaxed structure of AcTb12Er5.

a = 10.6916 Å, b = 10.6916 Å, c = 6.1706 Å
α = 106.58°, β = 106.58°, γ = 60.12°
Last column: nearest neighbours and their distance in Å.
Element x y z (fractional)
Ac: 0.0000 0.0000 0.0000  10 Tb 3.59-3.62, 2 Er 3.62
Tb: 0.0005 0.3377 0.0024  7 Tb 3.47-3.61, 4 Er 3.54-3.60, 1 Ac 3.61
Tb: 0.9995 0.6623 0.9976  7 Tb 3.47-3.61, 4 Er 3.54-3.60, 1 Ac 3.61
Tb: 0.1673 0.4992 0.5012  5 Er 3.53-3.58, 7 Tb 3.54-3.57
Tb: 0.1715 0.8285 0.5000  3 Er 3.52-3.61, 7 Tb 3.55-3.67, 2 Ac 3.59
Tb: 0.3377 0.0005 0.0024  7 Tb 3.47-3.61, 4 Er 3.54-3.60, 1 Ac 3.61
Tb: 0.3376 0.6624 0.0000  7 Tb 3.48-3.61, 4 Er 3.54-3.55, 1 Ac 3.62
Tb: 0.4992 0.1673 0.5012  5 Er 3.53-3.58, 7 Tb 3.54-3.57
Tb: 0.5008 0.8327 0.4988  5 Er 3.53-3.58, 7 Tb 3.54-3.57
Tb: 0.6623 0.9995 0.9976  7 Tb 3.47-3.61, 4 Er 3.54-3.60, 1 Ac 3.61
Tb: 0.6624 0.3376 0.0000  7 Tb 3.48-3.61, 4 Er 3.54-3.55, 1 Ac 3.62
Tb: 0.8285 0.1715 0.5000  3 Er 3.52-3.61, 7 Tb 3.55-3.67, 2 Ac 3.59
Tb: 0.8327 0.5008 0.4988  5 Er 3.53-3.58, 7 Tb 3.54-3.57
Er: 0.1690 0.1690 0.5077  1 Er 3.52, 10 Tb 3.53-3.61, 1 Ac 3.62
Er: 0.3331 0.3331 0.0006  2 Er 3.52-3.57, 10 Tb 3.54-3.56
Er: 0.5000 0.5000 0.5000  10 Tb 3.52-3.56, 2 Er 3.57
Er: 0.6669 0.6669 0.9994  2 Er 3.52-3.57, 10 Tb 3.54-3.56
Er: 0.8310 0.8310 0.4923  1 Er 3.52, 10 Tb 3.53-3.61, 1 Ac 3.62

Total energy (eV for the cell shown): -81.98
SG: C2/m



Record 3
Density functional theory data (PBE) for a relaxed structure of AcTb8Er3.

a = 8.5162 Å, b = 8.5162 Å, c = 8.5162 Å
α = 100.03°, β = 95.76°, γ = 136.51°
Last column: nearest neighbours and their distance in Å.
Element x y z (fractional)
Ac: 0.0000 0.0000 0.0000  2 Er 3.59, 10 Tb 3.60-3.69
Tb: 0.0008 0.3379 0.3371  4 Er 3.49-3.64, 7 Tb 3.50-3.66, 1 Ac 3.69
Tb: 0.0008 0.6637 0.6629  4 Er 3.49-3.64, 7 Tb 3.50-3.66, 1 Ac 3.69
Tb: 0.0890 0.0020 0.4226  7 Tb 3.49-3.67, 4 Er 3.52-3.67, 1 Ac 3.60
Tb: 0.0890 0.6665 0.0870  7 Tb 3.49-3.67, 4 Er 3.52-3.67, 1 Ac 3.60
Tb: 0.5039 0.3340 0.8301  7 Tb 3.49-3.72, 3 Er 3.59-3.61, 2 Ac 3.64-3.68
Tb: 0.5039 0.6738 0.1699  7 Tb 3.49-3.72, 3 Er 3.59-3.61, 2 Ac 3.64-3.68
Tb: 0.5795 0.0020 0.9130  7 Tb 3.49-3.67, 4 Er 3.52-3.67, 1 Ac 3.60
Tb: 0.5795 0.6665 0.5774  7 Tb 3.49-3.67, 4 Er 3.52-3.67, 1 Ac 3.60
Er: 0.0847 0.3378 0.7470  10 Tb 3.49-3.67, 1 Er 3.52, 1 Ac 3.59
Er: 0.5042 0.0042 0.5000  10 Tb 3.52-3.64, 2 Er 3.52
Er: 0.5908 0.3378 0.2530  10 Tb 3.49-3.67, 1 Er 3.52, 1 Ac 3.59

Total energy (eV for the cell shown): -54.52
SG: Imm2



Record 4
Density functional theory data (PBE) for a relaxed structure of Ac2Tb5Er.

a = 10.8096 Å, b = 10.8096 Å, c = 10.8096 Å
α = 152.02°, β = 152.02°, γ = 39.99°
Last column: nearest neighbours and their distance in Å.
Element x y z (fractional)
Ac: 0.2504 0.2504 0.0000  4 Ac 3.70, 8 Tb 3.74-3.75
Ac: 0.7496 0.7496 0.0000  4 Ac 3.70, 8 Tb 3.74-3.75
Tb: 0.0000 0.0000 0.0000  8 Tb 3.54, 4 Er 3.70
Tb: 0.1179 0.6179 0.5000  6 Tb 3.54-3.70, 2 Er 3.54, 4 Ac 3.74-3.75
Tb: 0.3821 0.8821 0.5000  6 Tb 3.54-3.70, 2 Er 3.54, 4 Ac 3.74-3.75
Tb: 0.6179 0.1179 0.5000  6 Tb 3.54-3.70, 2 Er 3.54, 4 Ac 3.74-3.75
Tb: 0.8821 0.3821 0.5000  6 Tb 3.54-3.70, 2 Er 3.54, 4 Ac 3.74-3.75
Er: 0.5000 0.5000 0.0000  12 Tb 3.54-3.70

Total energy (eV for the cell shown): -35.48
SG: I4/mmm



Record 5
Density functional theory data (PBE) for a relaxed structure of Ac14TbEr.

a = 11.1812 Å, b = 7.8636 Å, c = 7.8636 Å
α = 90.01°, β = 90.00°, γ = 90.00°
Last column: nearest neighbours and their distance in Å.
Element x y z (fractional)
Ac: 0.0000 0.0003 0.0003  12 Ac 3.92-4.00
Ac: 0.0000 0.0009 0.4995  12 Ac 3.92-4.00
Ac: 0.0000 0.4995 0.0009  12 Ac 3.92-4.00
Ac: 0.0000 0.5000 0.5000  12 Ac 3.92-4.00
Ac: 0.2558 0.7500 0.7500  10 Ac 3.89-3.99, 1 Er 3.89, 1 Tb 3.90
Ac: 0.2567 0.2505 0.7499  1 Er 3.89, 10 Ac 3.89-4.00, 1 Tb 3.89
Ac: 0.2567 0.7499 0.2505  1 Er 3.89, 10 Ac 3.89-4.00, 1 Tb 3.89
Ac: 0.2577 0.2504 0.2504  1 Er 3.88, 1 Tb 3.89, 10 Ac 3.89-4.00
Ac: 0.5000 0.5011 0.9993  8 Ac 3.89, 2 Er 3.92-3.94, 2 Tb 3.92-3.94
Ac: 0.5000 0.9993 0.5011  8 Ac 3.89, 2 Er 3.92-3.94, 2 Tb 3.92-3.94
Ac: 0.7423 0.2504 0.2504  1 Er 3.88, 1 Tb 3.89, 10 Ac 3.89-4.00
Ac: 0.7433 0.2505 0.7499  1 Er 3.89, 10 Ac 3.89-4.00, 1 Tb 3.89
Ac: 0.7433 0.7499 0.2505  1 Er 3.89, 10 Ac 3.89-4.00, 1 Tb 3.89
Ac: 0.7442 0.7500 0.7500  10 Ac 3.89-3.99, 1 Er 3.89, 1 Tb 3.90
Tb: 0.5000 0.9999 0.9999  12 Ac 3.89-3.94
Er: 0.5000 0.5005 0.5005  12 Ac 3.88-3.94

Total energy (eV for the cell shown): -66.21
SG: Amm2



Record 6
Density functional theory data (PBE) for a relaxed structure of AcTb5Er.

a = 6.6344 Å, b = 6.6344 Å, c = 11.5367 Å
α = 102.88°, β = 102.88°, γ = 95.97°
Last column: nearest neighbours and their distance in Å.
Element x y z (fractional)
Ac: 0.0000 0.5000 0.0000  8 Tb 3.47-3.88
Ac: 0.5000 0.0000 0.5000  8 Tb 3.47-3.88
Tb: 0.0635 0.2745 0.5345  6 Tb 3.32-3.58, 2 Er 3.40-3.50, 1 Ac 3.63
Tb: 0.0733 0.9267 0.2500  6 Tb 3.32-3.58, 1 Er 3.34, 2 Ac 3.47
Tb: 0.2745 0.0635 0.0345  6 Tb 3.32-3.58, 2 Er 3.40-3.50, 1 Ac 3.63
Tb: 0.2955 0.4471 0.3304  5 Tb 3.39-3.74, 2 Er 3.50-3.63, 1 Ac 3.70
Tb: 0.4471 0.2955 0.8304  5 Tb 3.39-3.74, 2 Er 3.50-3.63, 1 Ac 3.70
Tb: 0.5529 0.7045 0.1696  5 Tb 3.39-3.74, 2 Er 3.50-3.63, 1 Ac 3.70
Tb: 0.7045 0.5529 0.6696  5 Tb 3.39-3.74, 2 Er 3.50-3.63, 1 Ac 3.70
Tb: 0.7255 0.9365 0.9655  6 Tb 3.32-3.58, 2 Er 3.40-3.50, 1 Ac 3.63
Tb: 0.9267 0.0733 0.7500  6 Tb 3.32-3.58, 1 Er 3.34, 2 Ac 3.47
Tb: 0.9365 0.7255 0.4655  6 Tb 3.32-3.58, 2 Er 3.40-3.50, 1 Ac 3.63
Er: 0.2656 0.7344 0.7500  9 Tb 3.34-3.63
Er: 0.7344 0.2656 0.2500  9 Tb 3.34-3.63

Total energy (eV for the cell shown): -62.26
SG: C2/c



Record 7
Density functional theory data (PBE) for a relaxed structure of AcTb4Er10.

a = 9.6098 Å, b = 9.6098 Å, c = 9.6098 Å
α = 96.65°, β = 96.65°, γ = 140.22°
Last column: nearest neighbours and their distance in Å.
Element x y z (fractional)
Ac: 0.0000 0.0000 0.0000  8 Tb 4.07, 8 Er 4.40
Tb: 0.3233 0.4325 0.7558  6 Er 3.34-3.47, 2 Tb 3.42
Tb: 0.4325 0.6767 0.1092  6 Er 3.34-3.47, 2 Tb 3.42
Tb: 0.5675 0.3233 0.8908  6 Er 3.34-3.47, 2 Tb 3.42
Tb: 0.6767 0.5675 0.2442  6 Er 3.34-3.47, 2 Tb 3.42
Er: 0.0416 0.6201 0.1621  4 Er 3.13-3.27, 3 Tb 3.34-3.47
Er: 0.1205 0.9584 0.5785  4 Er 3.13-3.27, 3 Tb 3.34-3.47
Er: 0.2500 0.7500 0.5000  6 Er 3.13-3.27
Er: 0.3799 0.5420 0.4215  4 Er 3.13-3.27, 3 Tb 3.34-3.47
Er: 0.4580 0.8795 0.8379  4 Er 3.13-3.27, 3 Tb 3.34-3.47
Er: 0.5420 0.1205 0.1621  4 Er 3.13-3.27, 3 Tb 3.34-3.47
Er: 0.6201 0.4580 0.5785  4 Er 3.13-3.27, 3 Tb 3.34-3.47
Er: 0.7500 0.2500 0.5000  6 Er 3.13-3.27
Er: 0.8795 0.0416 0.4215  4 Er 3.13-3.27, 3 Tb 3.34-3.47
Er: 0.9584 0.3799 0.8379  4 Er 3.13-3.27, 3 Tb 3.34-3.47

Total energy (eV for the cell shown): -60.16
SG: I4/m



Record 8
Density functional theory data (PBE) for a relaxed structure of AcTb2Er.

a = 3.6779 Å, b = 3.6779 Å, c = 10.2161 Å
α = 90.00°, β = 90.00°, γ = 90.00°
Last column: nearest neighbours and their distance in Å.
Element x y z (fractional)
Ac: 0.0000 0.0000 0.0000  4 Ac 3.68, 8 Tb 3.76
Tb: 0.5000 0.5000 0.2653  4 Er 3.54, 4 Tb 3.68, 4 Ac 3.76
Tb: 0.5000 0.5000 0.7347  4 Er 3.54, 4 Tb 3.68, 4 Ac 3.76
Er: 0.0000 0.0000 0.5000  8 Tb 3.54, 4 Er 3.68

Total energy (eV for the cell shown): -17.69
SG: P4/mmm
Polymorph energy (0 for the lowest one) (kJ/mol of formula units): 1



Record 9
Density functional theory data (PBE) for a relaxed structure of Ac2Tb2Er15.

a = 8.7210 Å, b = 8.7210 Å, c = 8.7210 Å
α = 80.29°, β = 80.29°, γ = 80.29°
Last column: nearest neighbours and their distance in Å.
Element x y z (fractional)
Ac: 0.1138 0.1138 0.1138  6 Er 3.37-3.68
Ac: 0.8862 0.8862 0.8862  6 Er 3.37-3.68
Tb: 0.3326 0.3326 0.3326  1 Ac 3.82, 12 Er 3.90-4.18
Tb: 0.6674 0.6674 0.6674  1 Ac 3.82, 12 Er 3.90-4.18
Er: 0.0000 0.0000 0.5000  8 Er 3.36-3.40, 2 Ac 3.37
Er: 0.0000 0.3084 0.6916  6 Er 3.25-3.47
Er: 0.0000 0.5000 0.0000  8 Er 3.36-3.40, 2 Ac 3.37
Er: 0.0000 0.6916 0.3084  6 Er 3.25-3.47
Er: 0.1556 0.6313 0.6313  6 Er 3.23-3.36
Er: 0.3084 0.0000 0.6916  6 Er 3.25-3.47
Er: 0.3084 0.6916 0.0000  6 Er 3.25-3.47
Er: 0.3687 0.3687 0.8444  6 Er 3.23-3.36
Er: 0.3687 0.8444 0.3687  6 Er 3.23-3.36
Er: 0.5000 0.0000 0.0000  8 Er 3.36-3.40, 2 Ac 3.37
Er: 0.6313 0.1556 0.6313  6 Er 3.23-3.36
Er: 0.6313 0.6313 0.1556  6 Er 3.23-3.36
Er: 0.6916 0.0000 0.3084  6 Er 3.25-3.47
Er: 0.6916 0.3084 0.0000  6 Er 3.25-3.47
Er: 0.8444 0.3687 0.3687  6 Er 3.23-3.36

Total energy (eV for the cell shown): -80.34
SG: R-3m



no.,total magnetic moment (μB/atom),energy of formation (eV/atom)
1,0.000,0.0299
2,0.000,0.0281
3,0.000,0.0268
4,0.000,0.0562
5,0.000,0.0311
6,0.000,0.0992
7,0.000,0.5398
8,0.000,0.0600
9,0.000,0.2935